[1]
## TbSiTc (PBE)

Data for a relaxed structure of TbSiTc. Values from VASP.

Geometry as Quantum ESPRESSO input:
```
&SYSTEM
  ibrav = 0, nat = 3, ntyp = 3
/
ATOMIC_SPECIES
Si 28.09 Si.upf
Tb 158.93 Tb.upf
Tc 98.00 Tc.upf
ATOMIC_POSITIONS crystal
Si 0.000 0.000 0.000
Tb 0.250 0.250 0.250
Tc 0.750 0.750 0.750
CELL_PARAMETERS angstrom
0.358 -4.400 -0.135
-3.286 -2.530 1.518
-2.474 -2.331 -2.819
```

Summary:
**Total DFT energy (no corrections)**: -6.86 eV/atom

---

[2]
## TbSi2Tc4 (PBE)

Data for a relaxed structure of TbSi2Tc4. Values from VASP.

Geometry as Quantum ESPRESSO input:
```
&SYSTEM
  ibrav = 0, nat = 7, ntyp = 3
/
ATOMIC_SPECIES
Si 28.09 Si.upf
Tb 158.93 Tb.upf
Tc 98.00 Tc.upf
ATOMIC_POSITIONS crystal
Si 0.588 0.412 0.500
Si 0.412 0.588 0.500
Tb 0.000 0.000 0.000
Tc 0.694 0.306 0.000
Tc 0.306 0.694 0.000
Tc 0.812 0.188 0.500
Tc 0.188 0.812 0.500
CELL_PARAMETERS angstrom
2.048 -6.944 0.000
2.048 6.944 0.000
0.000 0.000 4.069
```

Summary:
**Total DFT energy (no corrections)**: -8.65 eV/atom

---

[3]
## TbSi2Tc2 (PBE)

Data for a relaxed structure of TbSi2Tc2. Values from VASP.

Geometry as Quantum ESPRESSO input:
```
&SYSTEM
  ibrav = 0, nat = 5, ntyp = 3
/
ATOMIC_SPECIES
Si 28.09 Si.upf
Tb 158.93 Tb.upf
Tc 98.00 Tc.upf
ATOMIC_POSITIONS crystal
Si 0.620 0.620 0.241
Si 0.380 0.380 0.759
Tb 0.000 0.000 0.000
Tc 0.750 0.250 0.500
Tc 0.250 0.750 0.500
CELL_PARAMETERS angstrom
-4.042 0.591 0.259
-0.178 -2.600 3.156
2.888 4.903 1.548
```

Summary:
**Total DFT energy (no corrections)**: -7.87 eV/atom

---

[4]
## Tb4SiTe3 (PBE)

Data for a relaxed structure of Tb4SiTe3. Values from VASP.

Geometry as Quantum ESPRESSO input:
```
&SYSTEM
  ibrav = 0, nat = 8, ntyp = 3
/
ATOMIC_SPECIES
Si 28.09 Si.upf
Tb 158.93 Tb.upf
Te 127.60 Te.upf
ATOMIC_POSITIONS crystal
Si 0.000 0.000 0.500
Tb 0.222 0.222 0.000
Tb 0.778 0.778 0.000
Tb 0.768 0.232 0.500
Tb 0.232 0.768 0.500
Te 0.500 0.000 0.000
Te 0.000 0.500 0.000
Te 0.500 0.500 0.500
CELL_PARAMETERS angstrom
-0.992 4.110 -6.234
-1.107 -7.266 -1.650
-4.160 0.421 0.939
```

Summary:
**Total DFT energy (no corrections)**: -5.44 eV/atom

---

[5]
## TbTh2Si2 (PBE)

Data for a relaxed structure of TbTh2Si2. Values from VASP.

Geometry as Quantum ESPRESSO input:
```
&SYSTEM
  ibrav = 0, nat = 10, ntyp = 3
/
ATOMIC_SPECIES
Si 28.09 Si.upf
Tb 158.93 Tb.upf
Th 232.04 Th.upf
ATOMIC_POSITIONS crystal
Si 0.616 0.116 0.000
Si 0.116 0.384 0.000
Si 0.884 0.616 0.000
Si 0.384 0.884 0.000
Tb 0.000 0.000 0.000
Tb 0.500 0.500 0.000
Th 0.321 0.179 0.500
Th 0.821 0.321 0.500
Th 0.179 0.679 0.500
Th 0.679 0.821 0.500
CELL_PARAMETERS angstrom
-3.050 -3.818 -5.923
5.941 2.078 -4.399
2.102 -3.511 1.181
```

Summary:
**Total DFT energy (no corrections)**: -6.74 eV/atom

---

[6]
## TbTlSi (PBE)

Data for a relaxed structure of TbTlSi. Values from VASP.

Geometry as Quantum ESPRESSO input:
```
&SYSTEM
  ibrav = 0, nat = 3, ntyp = 3
/
ATOMIC_SPECIES
Si 28.09 Si.upf
Tb 158.93 Tb.upf
Tl 204.38 Tl.upf
ATOMIC_POSITIONS crystal
Si 0.000 0.000 0.000
Tb 0.250 0.250 0.250
Tl 0.750 0.750 0.750
CELL_PARAMETERS angstrom
3.091 -1.043 -3.537
3.162 -3.585 0.548
-0.512 -4.066 -2.521
```

Summary:
**ΔE to the lowest computed polymorph**: 0.0 kJ/mol of atoms

---

[7]
## TbTmZn2Si2 (PBE)

Data for a relaxed structure of TbTmZn2Si2. Values from VASP.

Geometry as Quantum ESPRESSO input:
```
&SYSTEM
  ibrav = 0, nat = 12, ntyp = 4
/
ATOMIC_SPECIES
Si 28.09 Si.upf
Tb 158.93 Tb.upf
Tm 168.93 Tm.upf
Zn 65.41 Zn.upf
ATOMIC_POSITIONS crystal
Si 0.667 0.333 0.120
Si 0.667 0.333 0.380
Si 0.333 0.667 0.620
Si 0.333 0.667 0.880
Tb 0.000 0.000 0.000
Tb 0.000 0.000 0.500
Tm 0.000 0.000 0.250
Tm 0.000 0.000 0.750
Zn 0.333 0.667 0.141
Zn 0.333 0.667 0.359
Zn 0.667 0.333 0.641
Zn 0.667 0.333 0.859
CELL_PARAMETERS angstrom
-0.325 -3.910 -1.310
0.277 0.809 4.047
-15.556 1.005 0.864
```

Summary:
**ΔE to the lowest computed polymorph**: 0.0 kJ/mol of atoms

---

[8]
## TbSiW (PBE)

Data for a relaxed structure of TbSiW. Values from VASP.

Geometry as Quantum ESPRESSO input:
```
&SYSTEM
  ibrav = 0, nat = 3, ntyp = 3
/
ATOMIC_SPECIES
Si 28.09 Si.upf
Tb 158.93 Tb.upf
W 183.84 W.upf
ATOMIC_POSITIONS crystal
Si 0.000 0.000 0.000
Tb 0.250 0.250 0.250
W 0.750 0.750 0.750
CELL_PARAMETERS angstrom
-1.198 -1.801 3.901
-4.296 -0.865 0.831
-1.435 -4.220 0.161
```

Summary:
**Total DFT energy (no corrections)**: -7.41 eV/atom

---

[9]
## Tb2ZnSi3 (PBE)

Data for a relaxed structure of Tb2ZnSi3. Values from VASP.

Geometry as Quantum ESPRESSO input:
```
&SYSTEM
  ibrav = 0, nat = 6, ntyp = 3
/
ATOMIC_SPECIES
Si 28.09 Si.upf
Tb 158.93 Tb.upf
Zn 65.41 Zn.upf
ATOMIC_POSITIONS crystal
Si 0.500 0.500 0.167
Si 0.500 0.000 0.669
Si 0.500 0.500 0.832
Tb 0.000 0.500 0.508
Tb 0.000 0.000 0.993
Zn 0.500 0.000 0.331
CELL_PARAMETERS angstrom
4.021 0.000 0.000
0.000 4.117 0.000
0.000 0.000 6.967
```

Summary:
**Total DFT energy (no corrections)**: -5.11 eV/atom

---

[10]
## Tb3Zn2Si4 (PBE)

Data for a relaxed structure of Tb3Zn2Si4. Values from VASP.

Geometry as Quantum ESPRESSO input:
```
&SYSTEM
  ibrav = 0, nat = 9, ntyp = 3
/
ATOMIC_SPECIES
Si 28.09 Si.upf
Tb 158.93 Tb.upf
Zn 65.41 Zn.upf
ATOMIC_POSITIONS crystal
Si 0.720 0.720 0.053
Si 0.059 0.059 0.392
Si 0.941 0.941 0.608
Si 0.280 0.280 0.947
Tb 0.000 0.000 0.000
Tb 0.335 0.335 0.329
Tb 0.665 0.665 0.671
Zn 0.611 0.611 0.279
Zn 0.389 0.389 0.721
CELL_PARAMETERS angstrom
5.351 -2.046 0.000
5.351 2.046 0.000
-1.566 0.000 7.936
```

Summary:
**Total DFT energy (no corrections)**: -4.90 eV/atom

---

[11]
## TbZrSi3 (PBE)

Data for a relaxed structure of TbZrSi3. Values from VASP.

Geometry as Quantum ESPRESSO input:
```
&SYSTEM
  ibrav = 0, nat = 5, ntyp = 3
/
ATOMIC_SPECIES
Si 28.09 Si.upf
Tb 158.93 Tb.upf
Zr 91.22 Zr.upf
ATOMIC_POSITIONS crystal
Si 0.500 0.000 0.000
Si 0.000 0.500 0.000
Si 0.000 0.000 0.500
Tb 0.500 0.500 0.500
Zr 0.000 0.000 0.000
CELL_PARAMETERS angstrom
4.958 0.000 0.000
0.000 4.958 0.000
0.000 0.000 4.958
```

Summary:
**Total DFT energy (no corrections)**: -5.63 eV/atom

---

[12]
## TbZrSi2 (PBE)

Data for a relaxed structure of TbZrSi2. Values from VASP.

Geometry as Quantum ESPRESSO input:
```
&SYSTEM
  ibrav = 0, nat = 8, ntyp = 3
/
ATOMIC_SPECIES
Si 28.09 Si.upf
Tb 158.93 Tb.upf
Zr 91.22 Zr.upf
ATOMIC_POSITIONS crystal
Si 0.130 0.750 0.045
Si 0.641 0.250 0.467
Si 0.359 0.750 0.533
Si 0.870 0.250 0.955
Tb 0.625 0.750 0.181
Tb 0.375 0.250 0.819
Zr 0.116 0.250 0.324
Zr 0.884 0.750 0.676
CELL_PARAMETERS angstrom
-2.620 2.907 -3.923
-3.355 -1.057 1.457
0.133 5.904 4.590
```

Summary:
**ΔE to the lowest computed polymorph**: 2.0 kJ/mol of atoms

---

[13]
## TbZrSi2 (PBE)

Data for a relaxed structure of TbZrSi2. Values from VASP.

Geometry as Quantum ESPRESSO input:
```
&SYSTEM
  ibrav = 0, nat = 8, ntyp = 3
/
ATOMIC_SPECIES
Si 28.09 Si.upf
Tb 158.93 Tb.upf
Zr 91.22 Zr.upf
ATOMIC_POSITIONS crystal
Si 0.000 0.391 0.040
Si 0.500 0.873 0.463
Si 0.000 0.609 0.540
Si 0.500 0.127 0.963
Tb 0.000 0.872 0.178
Tb 0.000 0.128 0.678
Zr 0.500 0.373 0.319
Zr 0.500 0.627 0.819
CELL_PARAMETERS angstrom
3.798 0.000 0.000
0.000 5.542 0.000
0.000 0.000 7.495
```

Summary:
**ΔE to the lowest computed polymorph**: 2.7 kJ/mol of atoms

---

[14]
## TbZr3Si4 (PBE)

Data for a relaxed structure of TbZr3Si4. Values from VASP.

Geometry as Quantum ESPRESSO input:
```
&SYSTEM
  ibrav = 0, nat = 8, ntyp = 3
/
ATOMIC_SPECIES
Si 28.09 Si.upf
Tb 158.93 Tb.upf
Zr 91.22 Zr.upf
ATOMIC_POSITIONS crystal
Si 0.136 0.000 0.036
Si 0.635 0.500 0.469
Si 0.359 0.000 0.545
Si 0.868 0.500 0.951
Tb 0.625 0.000 0.177
Zr 0.122 0.500 0.326
Zr 0.880 0.000 0.678
Zr 0.375 0.500 0.818
CELL_PARAMETERS angstrom
-5.117 0.055 1.808
1.255 -0.402 3.564
0.415 7.212 0.667
```

Summary:
**Total DFT energy (no corrections)**: -7.37 eV/atom

---

[15]
## TbZrSi2 (PBE)

Data for a relaxed structure of TbZrSi2. Values from VASP.

Geometry as Quantum ESPRESSO input:
```
&SYSTEM
  ibrav = 0, nat = 8, ntyp = 3
/
ATOMIC_SPECIES
Si 28.09 Si.upf
Tb 158.93 Tb.upf
Zr 91.22 Zr.upf
ATOMIC_POSITIONS crystal
Si 0.000 0.226 0.134
Si 0.000 0.697 0.365
Si 0.500 0.774 0.634
Si 0.500 0.303 0.865
Tb 0.500 0.926 0.121
Tb 0.000 0.074 0.621
Zr 0.500 0.435 0.380
Zr 0.000 0.565 0.880
CELL_PARAMETERS angstrom
-1.561 -3.010 -1.703
1.581 -4.246 6.054
-4.872 1.294 2.180
```

Summary:
**ΔE to the lowest computed polymorph**: 0.0 kJ/mol of atoms

---

[16]
## SiTc (PBE)

Data for a relaxed structure of SiTc. Values from VASP.

Geometry as Quantum ESPRESSO input:
```
&SYSTEM
  ibrav = 0, nat = 8, ntyp = 2
/
ATOMIC_SPECIES
Si 28.09 Si.upf
Tc 98.00 Tc.upf
ATOMIC_POSITIONS crystal
Si 0.345 0.655 0.155
Si 0.655 0.155 0.345
Si 0.155 0.345 0.655
Si 0.845 0.845 0.845
Tc 0.135 0.135 0.135
Tc 0.865 0.635 0.365
Tc 0.365 0.865 0.635
Tc 0.635 0.365 0.865
CELL_PARAMETERS angstrom
-0.027 -4.049 2.534
4.383 -1.029 -1.597
1.900 2.316 3.721
```

Summary:
**ΔE to the lowest computed polymorph**: 0.0 kJ/mol of atoms

---

[17]
## SiTc (PBE)

Data for a relaxed structure of SiTc. Values from VASP.

Geometry as Quantum ESPRESSO input:
```
&SYSTEM
  ibrav = 0, nat = 2, ntyp = 2
/
ATOMIC_SPECIES
Si 28.09 Si.upf
Tc 98.00 Tc.upf
ATOMIC_POSITIONS crystal
Si 0.000 0.000 0.000
Tc 0.250 0.250 0.250
CELL_PARAMETERS angstrom
0.000 2.718 2.718
2.718 0.000 2.718
2.718 2.718 0.000
```

Summary:
**ΔE to the lowest computed polymorph**: 126.1 kJ/mol of atoms

---

[18]
## Si2Tc3 (PBE)

Data for a relaxed structure of Si2Tc3. Values from VASP.

Geometry as Quantum ESPRESSO input:
```
&SYSTEM
  ibrav = 0, nat = 10, ntyp = 2
/
ATOMIC_SPECIES
Si 28.09 Si.upf
Tc 98.00 Tc.upf
ATOMIC_POSITIONS crystal
Si 0.359 0.141 0.000
Si 0.859 0.359 0.000
Si 0.141 0.641 0.000
Si 0.641 0.859 0.000
Tc 0.000 0.000 0.000
Tc 0.500 0.500 0.000
Tc 0.656 0.156 0.500
Tc 0.156 0.344 0.500
Tc 0.844 0.656 0.500
Tc 0.344 0.844 0.500
CELL_PARAMETERS angstrom
6.792 0.000 0.000
0.000 6.792 0.000
0.000 0.000 2.969
```

Summary:
**Total DFT energy (no corrections)**: -8.64 eV/atom

---

[19]
## SiTc (PBE)

Data for a relaxed structure of SiTc. Values from VASP.

Geometry as Quantum ESPRESSO input:
```
&SYSTEM
  ibrav = 0, nat = 2, ntyp = 2
/
ATOMIC_SPECIES
Si 28.09 Si.upf
Tc 98.00 Tc.upf
ATOMIC_POSITIONS crystal
Si 0.667 0.333 0.750
Tc 0.333 0.667 0.250
CELL_PARAMETERS angstrom
-1.774 2.250 -1.365
1.253 -2.322 -1.765
-2.660 -1.804 0.485
```

Summary:
**ΔE to the lowest computed polymorph**: 3.3 kJ/mol of atoms

---

[20]
## SiTc (PBE)

Data for a relaxed structure of SiTc. Values from VASP.

Geometry as Quantum ESPRESSO input:
```
&SYSTEM
  ibrav = 0, nat = 2, ntyp = 2
/
ATOMIC_SPECIES
Si 28.09 Si.upf
Tc 98.00 Tc.upf
ATOMIC_POSITIONS crystal
Si 0.000 0.000 0.000
Tc 0.500 0.500 0.500
CELL_PARAMETERS angstrom
2.973 0.000 0.000
0.000 2.973 0.000
0.000 0.000 2.973
```

Summary:
**ΔE to the lowest computed polymorph**: 8.8 kJ/mol of atoms

---

no.,density (kg/m3),volume (Å³/cell)
1,7770,60.9
2,8709,115.7
3,7929,86.1
4,7559,229.9
5,8982,251.1
6,8249,78.8
7,7391,231.3
8,9814,62.7
9,6732,115.3
10,6880,173.8
11,4556,121.9
12,6451,157.7
13,6448,157.8
14,6049,149.6
15,6457,157.6
16,7682,109.0
17,5211,40.2
18,8492,136.9
19,7384,28.4
20,7969,26.3